[1]
Below is an optimized crystal structure of NaSm3Hg12, with properties calculated at the GGA-PBE level.

Lattice parameters (Å, degrees): 4.649 4.649 18.685 90.00 90.00 90.00
Fractional positions:
1 Na 0.000 0.000 0.000
2 Sm 0.000 0.000 0.244
3 Sm 0.000 0.000 0.500
4 Sm 0.000 0.000 0.756
5 Hg 0.000 0.500 0.124
6 Hg 0.000 0.500 0.374
7 Hg 0.000 0.500 0.626
8 Hg 0.000 0.500 0.876
9 Hg 0.500 0.000 0.124
10 Hg 0.500 0.000 0.374
11 Hg 0.500 0.000 0.626
12 Hg 0.500 0.000 0.876
13 Hg 0.500 0.500 0.000
14 Hg 0.500 0.500 0.252
15 Hg 0.500 0.500 0.500
16 Hg 0.500 0.500 0.748

Output
* ΔE_f: -0.309 eV/atom
* magnetic moment: 0.00 Bohr magnetons per cell

[2]
Below is an optimized crystal structure of HfCrGa3, with properties calculated at the GGA-PBE level.

Lattice parameters (Å, degrees): 4.543 4.543 4.543 90.00 90.00 90.00
Fractional positions:
1 Hf 0.000 0.000 0.000
2 Cr 0.500 0.500 0.500
3 Ga 0.000 0.500 0.500
4 Ga 0.500 0.000 0.500
5 Ga 0.500 0.500 0.000

Output
* ΔE_f: 0.397 eV/atom
* magnetic moment: 0.00 Bohr magnetons per cell

Q: Which of these has the highest ΔE_f?
A: HfCrGa3

Q: ΔE_f of number 2 (HfCrGa3)?
A: 0.397 eV/atom